The following is a GGA-PBE calculation of a geometry-optimized Tb2Y3Ho2 structure, from Alexandria.

Results
Its symmetry is C2/m. The value obtained for the formation energy is 0.119 eV/atom. As for the crystal system: monoclinic. Its magnetic moment is 0.00 μB/cell. Its energy relative to the lowest polymorph listed for this composition is 74.9 meV per atom. The calculation puts the density of states at the Fermi level at 23.513 states/eV per cell.

Geometry as CIF:
```
data_Tb2Y3Ho2
_cell_length_a 17.3953
_cell_length_b 3.4933
_cell_length_c 8.5759
_cell_angle_alpha 90.00
_cell_angle_beta 119.38
_cell_angle_gamma 90.00
_space_group_name_H-M_alt 'P 1'
_space_group_IT_number 1
_space_group_name_Hall 'P 1'
loop_
_atom_site_label
_atom_site_fract_x
_atom_site_fract_y
_atom_site_fract_z
Tb1 0.1457 0.0000 0.3221
Tb2 0.3543 0.5000 0.6779
Tb3 0.6457 0.5000 0.3221
Tb4 0.8543 0.0000 0.6779
Y1 0.0000 0.0000 0.5000
Y2 0.2122 0.0000 0.8021
Y3 0.2878 0.5000 0.1979
Y4 0.5000 0.5000 0.5000
Y5 0.7122 0.5000 0.8021
Y6 0.7878 0.0000 0.1979
Ho1 0.0649 0.5000 0.9078
Ho2 0.4351 0.0000 0.0922
Ho3 0.5649 0.0000 0.9078
Ho4 0.9351 0.5000 0.0922
```